Density functional theory data (PBE-GGA) for crystalline TlCoAgMo at its relaxed geometry.

The electronic total energy comes out at -5.05 eV per atom. The calculation puts the offset from the most stable computed form at 0.0 meV per atom.

It has space group F-43m (No. 216), with a = 6.426 Å, b = 6.426 Å, c = 6.426 Å, α = 90.00°, β = 90.00° and γ = 90.00°. The asymmetric unit holds Tl at (0.000, 0.000, 0.000), Co at (0.250, 0.250, 0.250), Ag at (0.250, 0.250, 0.750) and Mo at (0.000, 0.000, 0.500).